Model one:
The following is a DFT calculation (GGA-PBE) of crystalline TbTm2Hg4 at its relaxed geometry.

a b c (Å): 6.3022 6.3022 6.3022
angles (deg): 110.09 109.16 109.16
Sites, in units of the cell vectors:
Tb  0.0000  0.0000  0.0000
Tm  0.5000  0.5000  0.0000
Tm  0.5000  0.0000  0.5000
Hg  0.5000  0.0000  0.0000
Hg  0.5000  0.5000  0.5000
Hg  0.0000  0.0000  0.5000
Hg  0.0000  0.5000  0.0000

- magnetic moment (μB/f.u.) = 0.0
- SG = I4/mmm, No. 139
- DOS at the Fermi energy (states/eV/cell) = 2.55

---

Model two:
The following is a DFT calculation (GGA-PBE) of crystalline TbTm2Hg4 at its relaxed geometry.

a b c (Å): 5.6153 5.6153 8.5860
angles (deg): 109.09 109.09 90.00
Sites, in units of the cell vectors:
Tb  0.0000  0.0000  0.0000
Tm  0.6006  0.6006  0.2013
Tm  0.3994  0.3994  0.7987
Hg  0.7984  0.7984  0.5969
Hg  0.2016  0.2016  0.4031
Hg  0.0000  0.5000  0.0000
Hg  0.5000  0.0000  0.0000

- magnetic moment (μB/f.u.) = 0.0
- SG = I4/mmm, No. 139
- DOS at the Fermi energy (states/eV/cell) = 6.46

---

Which of them is the most stable? Correct choice: model one.

---

Model one:
The following is a DFT calculation (GGA-PBE) of crystalline TbTm4Hg at its relaxed geometry.

a b c (Å): 6.2709 8.8503 8.1239
angles (deg): 113.13 99.87 113.19
Sites, in units of the cell vectors:
Tb  0.3436  0.5936  0.1872
Tb  0.6564  0.4064  0.8128
Tm  0.0368  0.1621  0.7597
Tm  0.7561  0.7127  0.6227
Tm  0.2229  0.5976  0.7597
Tm  0.3666  0.9100  0.6227
Tm  0.6334  0.0900  0.3773
Tm  0.7771  0.4024  0.2403
Tm  0.2439  0.2873  0.3773
Tm  0.9632  0.8379  0.2403
Hg  0.2505  0.0005  0.0010
Hg  0.7495  0.9995  0.9990

- magnetic moment (μB/f.u.) = 0.0
- SG = C2/c, No. 15
- DOS at the Fermi energy (states/eV/cell) = 15.93

---

Model two:
The following is a DFT calculation (GGA-PBE) of crystalline TbTm4Hg at its relaxed geometry.

a b c (Å): 3.5242 3.5242 13.9090
angles (deg): 90.00 90.00 90.00
Sites, in units of the cell vectors:
Tb  0.0000  0.0000  0.0000
Tm  0.5000  0.5000  0.1779
Tm  0.0000  0.0000  0.6440
Tm  0.0000  0.0000  0.3560
Tm  0.5000  0.5000  0.8221
Hg  0.5000  0.5000  0.5000

- magnetic moment (μB/f.u.) = 0.0
- SG = P4/mmm, No. 123
- DOS at the Fermi energy (states/eV/cell) = 8.07

---

Which of them is the most stable? Correct choice: model two.

---

Model one:
The following is a DFT calculation (GGA-PBE) of crystalline TbTm2Hg2 at its relaxed geometry.

a b c (Å): 5.1049 5.1049 6.3502
angles (deg): 90.00 90.00 120.00
Sites, in units of the cell vectors:
Tb  0.0000  0.0000  0.0000
Tm  0.3333  0.6667  0.6602
Tm  0.6667  0.3333  0.3398
Hg  0.3333  0.6667  0.1837
Hg  0.6667  0.3333  0.8163

- magnetic moment (μB/f.u.) = 0.0
- SG = P-3m1, No. 164
- DOS at the Fermi energy (states/eV/cell) = 5.90

---

Model two:
The following is a DFT calculation (GGA-PBE) of crystalline TbTm2Hg2 at its relaxed geometry.

a b c (Å): 3.7048 5.2632 13.6473
angles (deg): 90.00 97.83 90.00
Sites, in units of the cell vectors:
Tb  0.8528  0.7500  0.7065
Tb  0.1472  0.2500  0.2935
Tm  0.0473  0.7500  0.0953
Tm  0.9527  0.2500  0.9047
Tm  0.2358  0.7500  0.4721
Tm  0.7642  0.2500  0.5279
Hg  0.6441  0.7500  0.2885
Hg  0.3559  0.2500  0.7115
Hg  0.4538  0.7500  0.9072
Hg  0.5462  0.2500  0.0928

- magnetic moment (μB/f.u.) = 0.0
- SG = P2_1/m, No. 11
- DOS at the Fermi energy (states/eV/cell) = 8.46

---

Which of them is the most stable? Correct choice: model two.

---

Model one:
The following is a DFT calculation (GGA-PBE) of crystalline Tb2TmHg2 at its relaxed geometry.

a b c (Å): 4.7735 5.9210 5.9210
angles (deg): 70.88 66.23 66.23
Sites, in units of the cell vectors:
Tb  0.1969  0.3031  0.3031
Tb  0.8031  0.6969  0.6969
Tm  0.0000  0.0000  0.0000
Hg  0.5000  0.2825  0.7175
Hg  0.5000  0.7175  0.2825

- magnetic moment (μB/f.u.) = 0.0
- SG = Immm, No. 71
- DOS at the Fermi energy (states/eV/cell) = 5.31

---

Model two:
The following is a DFT calculation (GGA-PBE) of crystalline Tb2TmHg2 at its relaxed geometry.

a b c (Å): 3.7473 5.2602 13.7163
angles (deg): 90.00 97.90 90.00
Sites, in units of the cell vectors:
Tb  0.0459  0.7500  0.0936
Tb  0.9541  0.2500  0.9064
Tb  0.2351  0.7500  0.4708
Tb  0.7649  0.2500  0.5292
Tm  0.8537  0.7500  0.7071
Tm  0.1463  0.2500  0.2929
Hg  0.6432  0.7500  0.2868
Hg  0.3568  0.2500  0.7132
Hg  0.4507  0.7500  0.8995
Hg  0.5493  0.2500  0.1005

- magnetic moment (μB/f.u.) = 0.0
- SG = P2_1/m, No. 11
- DOS at the Fermi energy (states/eV/cell) = 9.38

---

Which of them is the most stable? Correct choice: model two.

---

Model one:
The following is a DFT calculation (GGA-PBE) of crystalline TbTmZnHg at its relaxed geometry.

a b c (Å): 3.5872 3.5872 7.4100
angles (deg): 90.00 90.00 90.00
Sites, in units of the cell vectors:
Tb  0.0000  0.0000  0.8403
Tm  0.0000  0.0000  0.3731
Zn  0.5000  0.5000  0.5983
Hg  0.5000  0.5000  0.1163

- magnetic moment (μB/f.u.) = 0.0
- SG = P4mm, No. 99
- DOS at the Fermi energy (states/eV/cell) = 3.39

---

Model two:
The following is a DFT calculation (GGA-PBE) of crystalline TbTmZnHg at its relaxed geometry.

a b c (Å): 5.1475 5.1475 5.1475
angles (deg): 60.00 60.00 60.00
Sites, in units of the cell vectors:
Zn  0.0000  0.0000  0.0000
Tm  0.2500  0.2500  0.2500
Tb  0.7500  0.7500  0.7500
Hg  0.5000  0.5000  0.5000

- magnetic moment (μB/f.u.) = 0.0
- SG = F-43m, No. 216
- DOS at the Fermi energy (states/eV/cell) = 3.94

---

Which of them is the most stable? Correct choice: model one.

---

Model one:
The following is a DFT calculation (GGA-PBE) of crystalline TbYHg2 at its relaxed geometry.

a b c (Å): 3.7628 5.2576 5.2576
angles (deg): 90.00 90.00 90.00
Sites, in units of the cell vectors:
Y  0.5000  0.0000  0.0000
Tb  0.5000  0.5000  0.5000
Hg  0.0000  0.0000  0.5000
Hg  0.0000  0.5000  0.0000

- magnetic moment (μB/f.u.) = 0.2
- SG = P4/mmm, No. 123
- DOS at the Fermi energy (states/eV/cell) = 4.15

---

Model two:
The following is a DFT calculation (GGA-PBE) of crystalline TbYHg2 at its relaxed geometry.

a b c (Å): 3.7777 3.7777 9.3828
angles (deg): 78.39 78.39 60.00
Sites, in units of the cell vectors:
Tb  0.6665  0.6665  0.0006
Y  0.5002  0.5002  0.4995
Hg  0.0832  0.0832  0.7505
Hg  0.2502  0.2502  0.2495

- magnetic moment (μB/f.u.) = 0.0
- SG = R3m, No. 160
- DOS at the Fermi energy (states/eV/cell) = 3.87

---

Which of them is the most stable? Correct choice: model one.

---

Model one:
The following is a DFT calculation (GGA-PBE) of crystalline TbYZnHg at its relaxed geometry.

a b c (Å): 5.1870 5.1870 5.1870
angles (deg): 60.00 60.00 60.00
Sites, in units of the cell vectors:
Y  0.7500  0.7500  0.7500
Zn  0.5000  0.5000  0.5000
Tb  0.2500  0.2500  0.2500
Hg  0.0000  0.0000  0.0000

- magnetic moment (μB/f.u.) = 0.3
- SG = F-43m, No. 216
- DOS at the Fermi energy (states/eV/cell) = 4.16

---

Model two:
The following is a DFT calculation (GGA-PBE) of crystalline TbYZnHg at its relaxed geometry.

a b c (Å): 3.6258 3.6258 7.4316
angles (deg): 90.00 90.00 90.00
Sites, in units of the cell vectors:
Tb  0.5000  0.5000  0.1230
Y  0.5000  0.5000  0.5905
Zn  0.0000  0.0000  0.3581
Hg  0.0000  0.0000  0.8563

- magnetic moment (μB/f.u.) = 0.0
- SG = P4mm, No. 99
- DOS at the Fermi energy (states/eV/cell) = 3.83

---

Which of them is the most stable? Correct choice: model two.

---

Model one:
The following is a DFT calculation (GGA-PBE) of crystalline Tb3ZnHg2 at its relaxed geometry.

a b c (Å): 5.2126 5.2126 12.8503
angles (deg): 90.00 90.00 120.00
Sites, in units of the cell vectors:
Tb  0.3333  0.6667  0.4181
Tb  0.6667  0.3333  0.0878
Tb  0.0000  0.0000  0.7447
Tb  0.0000  0.0000  0.2553
Tb  0.3333  0.6667  0.9122
Tb  0.6667  0.3333  0.5819
Zn  0.3333  0.6667  0.6656
Zn  0.6667  0.3333  0.3344
Hg  0.0000  0.0000  0.5000
Hg  0.3333  0.6667  0.1722
Hg  0.6667  0.3333  0.8278
Hg  0.0000  0.0000  0.0000

- magnetic moment (μB/f.u.) = 0.5
- SG = P-3m1, No. 164
- DOS at the Fermi energy (states/eV/cell) = 13.40

---

Model two:
The following is a DFT calculation (GGA-PBE) of crystalline Tb3ZnHg2 at its relaxed geometry.

a b c (Å): 3.6549 3.6549 11.2296
angles (deg): 90.00 90.00 90.00
Sites, in units of the cell vectors:
Tb  0.0000  0.0000  0.0000
Tb  0.0000  0.0000  0.6535
Tb  0.0000  0.0000  0.3465
Zn  0.5000  0.5000  0.5000
Hg  0.5000  0.5000  0.8253
Hg  0.5000  0.5000  0.1747

- magnetic moment (μB/f.u.) = 0.3
- SG = P4/mmm, No. 123
- DOS at the Fermi energy (states/eV/cell) = 6.66

---

Which of them is the most stable? Correct choice: model two.

---

Model one:
The following is a DFT calculation (GGA-PBE) of crystalline Tb4Zn2Hg at its relaxed geometry.

a b c (Å): 4.9591 4.9591 9.5650
angles (deg): 74.98 74.98 60.00
Sites, in units of the cell vectors:
Tb  0.3810  0.3810  0.8570
Tb  0.2031  0.2031  0.3907
Tb  0.7969  0.7969  0.6093
Tb  0.6190  0.6190  0.1430
Zn  0.0973  0.0973  0.7082
Zn  0.9027  0.9027  0.2918
Hg  0.0000  0.0000  0.0000

- magnetic moment (μB/f.u.) = 0.0
- SG = R-3m, No. 166
- DOS at the Fermi energy (states/eV/cell) = 10.66

---

Model two:
The following is a DFT calculation (GGA-PBE) of crystalline Tb4Zn2Hg at its relaxed geometry.

a b c (Å): 5.0903 5.0903 8.6861
angles (deg): 72.96 72.96 60.00
Sites, in units of the cell vectors:
Tb  0.8698  0.8698  0.3905
Tb  0.1302  0.1302  0.6095
Tb  0.6174  0.6174  0.1478
Tb  0.3826  0.3826  0.8522
Zn  0.7486  0.7486  0.7542
Zn  0.2514  0.2514  0.2458
Hg  0.0000  0.0000  0.0000

- magnetic moment (μB/f.u.) = 0.0
- SG = R-3m, No. 166
- DOS at the Fermi energy (states/eV/cell) = 8.74

---

Which of them is the most stable? Correct choice: model two.

---

Model one:
The following is a DFT calculation (GGA-PBE) of crystalline Tb6Zn2Hg at its relaxed geometry.

a b c (Å): 8.6037 8.6037 8.6037
angles (deg): 108.21 110.84 109.37
Sites, in units of the cell vectors:
Tb  0.5504  0.7305  0.8200
Tb  0.4496  0.2695  0.1800
Tb  0.0895  0.2695  0.8200
Tb  0.9105  0.7305  0.1800
Tb  0.7971  0.7548  0.5518
Tb  0.2029  0.2452  0.4482
Tb  0.2029  0.7548  0.9577
Tb  0.7971  0.2452  0.0423
Tb  0.7151  0.3945  0.6793
Tb  0.2849  0.6055  0.3207
Tb  0.2849  0.9642  0.6793
Tb  0.7151  0.0358  0.3207
Zn  0.5000  0.3746  0.8746
Zn  0.5000  0.6254  0.1254
Zn  0.6355  0.0000  0.6355
Zn  0.3645  0.0000  0.3645
Hg  0.0000  0.5000  0.5000
Hg  0.0000  0.0000  0.0000

- magnetic moment (μB/f.u.) = 0.0
- SG = Immm, No. 71
- DOS at the Fermi energy (states/eV/cell) = 19.09

---

Model two:
The following is a DFT calculation (GGA-PBE) of crystalline Tb6Zn2Hg at its relaxed geometry.

a b c (Å): 4.9877 4.9877 11.3194
angles (deg): 102.73 102.73 90.00
Sites, in units of the cell vectors:
Tb  0.9122  0.4122  0.8244
Tb  0.4122  0.9122  0.8244
Tb  0.0878  0.5878  0.1756
Tb  0.7500  0.2500  0.5000
Tb  0.2500  0.7500  0.5000
Tb  0.5878  0.0878  0.1756
Zn  0.3328  0.3328  0.6656
Zn  0.6672  0.6672  0.3344
Hg  0.0000  0.0000  0.0000

- magnetic moment (μB/f.u.) = 0.0
- SG = I4/mmm, No. 139
- DOS at the Fermi energy (states/eV/cell) = 12.87

---

Which of them is the most stable? Correct choice: model one.

---

Model one:
The following is a DFT calculation (GGA-PBE) of crystalline TbZrHg2 at its relaxed geometry.

a b c (Å): 3.6392 3.6392 7.2019
angles (deg): 90.00 90.00 90.00
Sites, in units of the cell vectors:
Tb  0.5000  0.5000  0.5000
Hg  0.0000  0.0000  0.7662
Hg  0.0000  0.0000  0.2338
Zr  0.5000  0.5000  0.0000

- magnetic moment (μB/f.u.) = 0.5
- SG = P4/mmm, No. 123
- DOS at the Fermi energy (states/eV/cell) = 4.56

---

Model two:
The following is a DFT calculation (GGA-PBE) of crystalline TbZrHg2 at its relaxed geometry.

a b c (Å): 4.1927 4.7556 4.7556
angles (deg): 90.00 90.00 90.00
Sites, in units of the cell vectors:
Tb  0.5000  0.5000  0.5000
Hg  0.0000  0.0000  0.5000
Hg  0.0000  0.5000  0.0000
Zr  0.5000  0.0000  0.0000

- magnetic moment (μB/f.u.) = 1.0
- SG = P4/mmm, No. 123
- DOS at the Fermi energy (states/eV/cell) = 3.51

---

Which of them is the most stable? Correct choice: model one.

---

Model one:
The following is a DFT calculation (GGA-PBE) of crystalline TcHg2 at its relaxed geometry.

a b c (Å): 5.2445 5.2445 4.8015
angles (deg): 90.00 90.00 120.00
Sites, in units of the cell vectors:
Tc  0.6667  0.3333  0.5000
Tc  0.3333  0.6667  0.5000
Hg  0.6352  0.0000  0.0000
Hg  0.3648  0.3648  0.0000
Hg  0.0000  0.6352  0.0000
Hg  0.0000  0.0000  0.5000

- magnetic moment (μB/f.u.) = 0.8
- SG = P-62m, No. 189
- DOS at the Fermi energy (states/eV/cell) = 3.71

---

Model two:
The following is a DFT calculation (GGA-PBE) of crystalline TcHg2 at its relaxed geometry.

a b c (Å): 5.7873 5.7873 9.2073
angles (deg): 90.00 90.00 60.00
Sites, in units of the cell vectors:
Hg  0.0000  0.0000  0.0000
Hg  0.0000  0.0000  0.5000
Hg  0.8269  0.3461  0.7500
Hg  0.3461  0.8269  0.7500
Hg  0.1731  0.1731  0.2500
Hg  0.8269  0.8269  0.7500
Hg  0.6539  0.1731  0.2500
Hg  0.1731  0.6539  0.2500
Tc  0.6667  0.6667  0.1327
Tc  0.6667  0.6667  0.3673
Tc  0.3333  0.3333  0.6327
Tc  0.3333  0.3333  0.8673

- magnetic moment (μB/f.u.) = 0.3
- SG = P6_3/mmc, No. 194
- DOS at the Fermi energy (states/eV/cell) = 9.74

---

Model three:
The following is a DFT calculation (GGA-PBE) of crystalline TcHg2 at its relaxed geometry.

a b c (Å): 10.0257 10.0257 4.8401
angles (deg): 90.00 90.00 163.62
Sites, in units of the cell vectors:
Tc  0.2169  0.7831  0.5000
Tc  0.8199  0.1801  0.5000
Hg  0.9985  0.0015  0.0000
Hg  0.6959  0.3041  0.0000
Hg  0.3518  0.6482  0.0000
Hg  0.5837  0.4163  0.5000

- magnetic moment (μB/f.u.) = 0.0
- SG = Amm2, No. 38
- DOS at the Fermi energy (states/eV/cell) = 4.09

---

Model four:
The following is a DFT calculation (GGA-PBE) of crystalline TcHg2 at its relaxed geometry.

a b c (Å): 8.3162 8.3162 2.9138
angles (deg): 90.00 90.00 120.00
Sites, in units of the cell vectors:
Tc  0.0000  0.0000  0.5000
Tc  0.3333  0.6667  0.0000
Tc  0.6667  0.3333  0.0000
Hg  0.0000  0.2905  0.0000
Hg  0.0000  0.6165  0.5000
Hg  0.2905  0.0000  0.0000
Hg  0.7095  0.7095  0.0000
Hg  0.6165  0.0000  0.5000
Hg  0.3835  0.3835  0.5000

- magnetic moment (μB/f.u.) = 0.1
- SG = P-62m, No. 189
- DOS at the Fermi energy (states/eV/cell) = 12.20

---

Which of them is the most stable? Correct choice: model three.